# K2Pa3MoO12

A geometry-optimized K2Pa3MoO12 structure (PBE+U, Alexandria via LeMat-Bulk).

Unit cell a=7.8519 b=7.8519 c=7.8519 alpha=61.08 beta=61.08 gamma=61.08
With the nearest neighbours (Å) after each atom.
Sites, in units of the cell vectors:
K1 0.1029 0.1029 0.1029  3 O 3.15
K2 0.8971 0.8971 0.8971  3 O 3.15
Pa1 0.0000 0.5000 0.5000  6 O 2.16-2.19
Pa2 0.5000 0.0000 0.5000  6 O 2.16-2.19
Pa3 0.5000 0.5000 0.0000  6 O 2.16-2.19
Mo1 0.5000 0.5000 0.5000  6 O 1.94
O1 0.1763 0.1763 0.5733  2 Pa 2.16
O2 0.1763 0.5733 0.1763  2 Pa 2.16
O3 0.2117 0.5574 0.5574  1 Mo 1.94
O4 0.4267 0.8237 0.8237  2 Pa 2.16
O5 0.4426 0.4426 0.7883  1 Mo 1.94
O6 0.4426 0.7883 0.4426  1 Mo 1.94
O7 0.5574 0.2117 0.5574  1 Mo 1.94
O8 0.5574 0.5574 0.2117  1 Mo 1.94
O9 0.5733 0.1763 0.1763  2 Pa 2.16
O10 0.7883 0.4426 0.4426  1 Mo 1.94
O11 0.8237 0.4267 0.8237  2 Pa 2.16
O12 0.8237 0.8237 0.4267  2 Pa 2.16

## Properties
The electronic total energy comes out at -8.110 eV/atom. Its total moment is 0.00 μB/cell. For the density of states at the Fermi level, the calculation gives 14.11 states/eV/f.u.